The following is a DFT calculation (PBE-GGA) of a geometry-optimized Mg2Sc3Pd2 structure.

a = 11.839 Å, b = 3.376 Å, c = 8.171 Å
α = 90.00°, β = 116.14°, γ = 90.00°
Atoms (fractional coordinates):
Mg  0.152  0.000  0.320
Mg  0.348  0.500  0.680
Mg  0.652  0.500  0.320
Mg  0.848  0.000  0.680
Sc  0.000  0.500  0.500
Sc  0.114  0.500  0.946
Sc  0.386  0.000  0.054
Sc  0.500  0.000  0.500
Sc  0.614  0.000  0.946
Sc  0.886  0.500  0.054
Pd  0.176  0.000  0.732
Pd  0.324  0.500  0.268
Pd  0.676  0.500  0.732
Pd  0.824  0.000  0.268

Summary:
Magnetic moment = 0.00 Bohr magnetons per cell
Calculated formation energy = -0.494 eV/atom
E_tot = -5.15 eV/atom